Computed, not measured: crystalline Mg2PRu at its relaxed geometry at the GGA-PBE level of DFT.

extended XYZ file:
```
4
Lattice="8.682 0.034 0.020 8.163 2.957 0.020 8.163 1.450 2.577" Properties=species:S:1:pos:R:3 pbc="T T T"
Mg 0.044 0.008 0.005
Mg 12.460 2.213 1.304
P 6.252 1.110 0.654
Ru 18.756 3.331 1.963
```

Summary:
D(E_F) = 3.0 states/eV per cell
Energy of formation from the pure elements = 0.07 eV/atom
Magnetic moment = 0.2 μB/f.u.

---

Computed, not measured: crystalline Pr3Y2HoTm6 at its relaxed geometry at the GGA-PBE level of DFT.

extended XYZ file:
```
12
Lattice="6.183 0.001 -0.002 -3.089 5.356 -0.002 -1.025 -1.774 11.558" Properties=species:S:1:pos:R:3 pbc="T T T"
Pr -2.056 3.576 5.777
Pr 4.125 0.006 5.777
Pr 1.034 1.791 5.777
Y 0.002 3.570 -0.002
Y 3.091 1.786 -0.002
Ho 0.000 0.000 0.000
Tm 3.095 1.799 8.708
Tm 2.066 3.577 2.845
Tm -1.026 1.783 2.846
Tm 0.012 3.580 8.708
Tm 0.003 0.006 8.709
Tm 2.057 0.002 2.846
```

Summary:
D(E_F) = 16.5 states/eV per cell
Energy of formation from the pure elements = 0.03 eV/atom
Magnetic moment = 0.0 μB/f.u.

---

Computed, not measured: crystalline Sr4Bi8Pd3 at its relaxed geometry at the GGA-PBE level of DFT.

extended XYZ file:
```
15
Lattice="-0.525 4.702 -0.746 -4.535 -0.723 -1.361 -6.061 2.330 18.961" Properties=species:S:1:pos:R:3 pbc="T T T"
Sr -2.563 3.235 6.824
Sr -5.622 4.411 16.392
Sr -2.969 -0.091 1.515
Sr -6.028 1.084 11.084
Bi -0.674 2.509 0.914
Bi -3.745 3.689 10.520
Bi -4.846 0.630 7.387
Bi -7.917 1.811 16.994
Bi -4.029 2.566 3.634
Bi -7.093 3.744 13.220
Bi -1.507 0.579 4.714
Bi -4.554 1.751 14.247
Pd -5.561 3.155 8.427
Pd 0.000 0.000 0.000
Pd -3.031 1.165 9.481
```

Summary:
D(E_F) = 12.3 states/eV per cell
Energy of formation from the pure elements = -0.53 eV/atom
Magnetic moment = 0.0 μB/f.u.

---

Computed, not measured: crystalline Rb2Pm3F10 at its relaxed geometry at the GGA-PBE level of DFT.

extended XYZ file:
```
30
Lattice="-1.537 7.089 -2.393 -8.417 -1.062 2.260 6.479 0.374 9.138" Properties=species:S:1:pos:R:3 pbc="T T T"
Rb -1.507 4.827 3.078
Rb -1.968 1.574 5.928
Rb -5.103 3.663 1.939
Rb 1.628 2.738 7.066
Pm -0.578 6.241 6.668
Pm -2.897 0.161 2.338
Pm -5.471 4.933 5.938
Pm 1.996 1.468 3.068
Pm -1.137 5.243 -1.770
Pm -0.400 1.846 -0.623
F -4.088 4.241 7.584
F -3.129 -0.182 9.077
F 0.613 2.160 1.422
F -0.346 6.584 -0.072
F -0.879 4.167 6.029
F -0.011 0.166 7.380
F -2.596 2.234 2.977
F -3.464 6.236 1.626
F -2.221 6.454 8.356
F -1.254 -0.053 0.650
F 1.151 6.099 5.139
F -4.627 0.302 3.867
F -4.070 4.678 4.282
F 0.595 1.723 4.723
F -8.056 2.930 1.665
F 4.581 3.471 7.341
F -5.466 5.267 -0.827
F -4.488 0.760 0.694
F 2.471 3.732 3.373
F 3.240 0.187 4.569
```

Summary:
Formation energy (no corrections) = -3.55 eV/atom
D(E_F) = 1.5 states/eV per cell
Magnetic moment = 0.0 μB/f.u.

---

Computed, not measured: crystalline ScHRh3 at its relaxed geometry at the GGA-PBE level of DFT.

extended XYZ file:
```
10
Lattice="-0.290 -5.523 -1.135 4.599 -3.128 0.361 -2.310 2.112 4.699" Properties=species:S:1:pos:R:3 pbc="T T T"
Sc 1.561 -4.878 3.918
Sc 0.501 -1.715 1.811
H 2.187 -4.351 0.517
H 1.176 -0.535 3.431
Rh 1.691 -2.165 4.403
Rh -0.623 -0.591 4.221
Rh 0.372 -4.429 1.325
Rh 2.838 -3.214 2.080
Rh -0.775 -3.380 3.649
Rh 2.685 -6.003 1.507
```

Summary:
Energy = -69.080 eV per cell
D(E_F) = 7.6 states/eV per cell
Magnetic moment = 0.0 μB/f.u.

---

Computed, not measured: crystalline Nd2PuRu at its relaxed geometry at the GGA-PBE level of DFT.

extended XYZ file:
```
4
Lattice="3.511 0.000 0.000 0.000 3.511 0.000 0.000 0.000 8.793" Properties=species:S:1:pos:R:3 pbc="T T T"
Ru 1.755 1.755 0.000
Nd 0.000 0.000 7.066
Nd 0.000 0.000 1.727
Pu 1.755 1.755 4.397
```

Summary:
D(E_F) = 7.9 states/eV per cell
Energy of formation from the pure elements = 0.02 eV/atom
Magnetic moment = 7.2 μB/f.u.

---

Computed, not measured: crystalline CeHoGaRu at its relaxed geometry at the GGA-PBE level of DFT.

extended XYZ file:
```
4
Lattice="-2.605 4.060 1.172 -4.727 -0.419 1.457 -1.227 0.882 4.729" Properties=species:S:1:pos:R:3 pbc="T T T"
Ru -2.140 1.131 1.840
Ga -6.420 3.392 5.519
Ho 0.000 0.000 0.000
Ce -4.280 2.261 3.679
```

Summary:
D(E_F) = 4.9 states/eV per cell
Energy of formation from the pure elements = -0.39 eV/atom
Magnetic moment = 0.2 μB/f.u.

---

Computed, not measured: crystalline SrGaHg3 at its relaxed geometry at the GGA-PBE level of DFT.

extended XYZ file:
```
5
Lattice="6.188 0.000 0.000 0.000 6.188 0.000 0.000 0.000 6.188" Properties=species:S:1:pos:R:3 pbc="T T T"
Sr 0.000 0.000 0.000
Hg 0.000 3.094 0.000
Hg 0.000 0.000 3.094
Hg 3.094 0.000 0.000
Ga 3.094 3.094 3.094
```

Summary:
D(E_F) = 9.9 states/eV per cell
Energy of formation from the pure elements = 0.42 eV/atom
Magnetic moment = 0.0 μB/f.u.

---

Computed, not measured: crystalline Ta2Cr2As at its relaxed geometry at the GGA-PBE level of DFT.

extended XYZ file:
```
5
Lattice="3.225 -1.050 5.347 5.431 2.699 1.824 -5.767 1.214 -2.318" Properties=species:S:1:pos:R:3 pbc="T T T"
Ta 1.996 2.369 1.546
Ta 0.893 0.494 3.308
Cr 5.190 0.988 4.300
Cr 3.466 0.660 2.872
As 0.000 0.000 0.000
```

Summary:
D(E_F) = 4.4 states/eV per cell
Energy of formation from the pure elements = 0.78 eV/atom
Magnetic moment = 3.1 μB/f.u.

---

Computed, not measured: crystalline K2YTa at its relaxed geometry at the GGA-PBE level of DFT.

extended XYZ file:
```
4
Lattice="7.775 0.000 0.001 3.961 6.691 -0.001 -4.612 -5.548 2.898" Properties=species:S:1:pos:R:3 pbc="T T T"
K 0.042 0.024 0.000
K 4.194 -1.284 1.450
Ta 5.579 3.181 0.000
Y 3.177 2.568 1.449
```

Summary:
D(E_F) = 3.6 states/eV per cell
Energy of formation from the pure elements = 1.09 eV/atom
Magnetic moment = 1.1 μB/f.u.

---

Computed, not measured: crystalline In2CuSi at its relaxed geometry at the GGA-PBE level of DFT.

extended XYZ file:
```
4
Lattice="-2.645 -1.892 -0.299 1.612 -2.058 -1.235 1.530 -3.332 7.544" Properties=species:S:1:pos:R:3 pbc="T T T"
Cu 1.034 -4.989 4.583
In 1.885 -3.742 6.996
In 1.216 -2.285 3.704
Si -0.537 -2.293 1.428
```

Summary:
Formation energy (no corrections) = 0.28 eV/atom
D(E_F) = 1.4 states/eV per cell
Magnetic moment = 0.0 μB/f.u.

---

Computed, not measured: crystalline RbNa2AlCd at its relaxed geometry at the GGA-PBE level of DFT.

extended XYZ file:
```
5
Lattice="6.013 0.000 0.000 0.000 6.013 0.000 0.000 0.000 5.126" Properties=species:S:1:pos:R:3 pbc="T T T"
Na 0.000 3.007 0.000
Na 3.007 0.000 0.000
Al 0.000 0.000 2.563
Rb 3.007 3.007 2.563
Cd 0.000 0.000 0.000
```

Summary:
D(E_F) = 2.6 states/eV per cell
Energy of formation from the pure elements = 0.15 eV/atom
Magnetic moment = 0.0 μB/f.u.